[1]
The following is a PBE calculation of crystalline NaCa3P at its relaxed geometry, from Alexandria.

spin magnetization: 0.102 μB per atom
crystal system: orthorhombic
E: -2.892 eV per atom
distance to the lowest polymorph of the same formula: 145 meV per atom

The structure in CIF format:
```
data_NaCa3P
_chemical_formula_sum 'Na4 Ca12 P4'
_cell_length_a 7.238
_cell_length_b 12.520
_cell_length_c 7.287
_cell_angle_alpha 90.00
_cell_angle_beta 90.00
_cell_angle_gamma 90.00
_symmetry_space_group_name_H-M 'P n m a'
_symmetry_Int_Tables_number 62
_symmetry_space_group_name_Hall '-P 2ac 2n'
loop_
_atom_site_label
_atom_site_type_symbol
_atom_site_fract_x
_atom_site_fract_y
_atom_site_fract_z
Na1 Na 0.000 0.000 0.000
Ca1 Ca 0.100 0.118 0.364
Ca2 Ca 0.222 0.250 0.812
P1 P 0.082 0.750 0.922
```

[2]
The following is a PBE calculation of crystalline Na3CaP at its relaxed geometry, from Alexandria.

spin magnetization: 0.000 μB per atom
crystal system: cubic
E: -1.269 eV per atom
distance to the lowest polymorph of the same formula: 1013 meV per atom

The structure in CIF format:
```
data_Na3CaP
_chemical_formula_sum 'Na3 Ca1 P1'
_cell_length_a 5.920
_cell_length_b 5.920
_cell_length_c 5.920
_cell_angle_alpha 90.00
_cell_angle_beta 90.00
_cell_angle_gamma 90.00
_symmetry_space_group_name_H-M 'P m -3 m'
_symmetry_Int_Tables_number 221
_symmetry_space_group_name_Hall '-P 4 2 3'
loop_
_atom_site_label
_atom_site_type_symbol
_atom_site_fract_x
_atom_site_fract_y
_atom_site_fract_z
Na1 Na 0.000 0.000 0.500
Ca1 Ca 0.000 0.000 0.000
P1 P 0.500 0.500 0.500
```

[3]
The following is a PBE calculation of crystalline NaCa3P at its relaxed geometry, from Alexandria.

spin magnetization: 0.000 μB per atom
crystal system: monoclinic
E: -2.999 eV per atom
distance to the lowest polymorph of the same formula: 38 meV per atom

The structure in CIF format:
```
data_NaCa3P
_chemical_formula_sum 'Na8 Ca24 P8'
_cell_length_a 13.940
_cell_length_b 14.622
_cell_length_c 7.240
_cell_angle_alpha 90.00
_cell_angle_beta 111.24
_cell_angle_gamma 90.00
_symmetry_space_group_name_H-M 'C 1 2/c 1'
_symmetry_Int_Tables_number 15
_symmetry_space_group_name_Hall '-C 2yc'
loop_
_atom_site_label
_atom_site_type_symbol
_atom_site_fract_x
_atom_site_fract_y
_atom_site_fract_z
Na1 Na 0.000 0.106 0.250
Na2 Na 0.000 0.129 0.750
Ca1 Ca 0.037 0.365 0.531
Ca2 Ca 0.208 0.228 0.213
Ca3 Ca 0.244 0.031 0.674
P1 P 0.162 0.381 0.944
```